An optimized crystal structure of ZrBeIr2Cl, computed with PBE.

Values from the calculation:
The uncorrected formation energy is 8.44 eV/f.u.

```
data_ZrBeIr2Cl
_chemical_formula_sum 'Zr1 Be1 Ir2 Cl1'
_cell_length_a 4.906
_cell_length_b 5.078
_cell_length_c 4.906
_cell_angle_alpha 90.00
_cell_angle_beta 90.00
_cell_angle_gamma 90.00
_symmetry_space_group_name_H-M 'P 1'
_symmetry_Int_Tables_number 1
loop_
_symmetry_equiv_pos_as_xyz
'x,y,z'
loop_
_atom_site_label
_atom_site_fract_x
_atom_site_fract_y
_atom_site_fract_z
Ir1 0.500 0.000 0.000
Ir2 0.000 0.000 0.500
Be1 0.000 0.500 0.000
Cl1 0.500 0.500 0.500
Zr1 0.000 0.000 0.000
```

=====

An optimized crystal structure of ZrBeIrCl2, computed with PBE.

Values from the calculation:
The uncorrected formation energy is 1.90 eV/f.u.

```
data_ZrBeIrCl2
_chemical_formula_sum 'Zr1 Be1 Ir1 Cl2'
_cell_length_a 4.909
_cell_length_b 5.153
_cell_length_c 4.909
_cell_angle_alpha 90.00
_cell_angle_beta 90.00
_cell_angle_gamma 90.00
_symmetry_space_group_name_H-M 'P 1'
_symmetry_Int_Tables_number 1
loop_
_symmetry_equiv_pos_as_xyz
'x,y,z'
loop_
_atom_site_label
_atom_site_fract_x
_atom_site_fract_y
_atom_site_fract_z
Zr1 0.000 0.000 0.000
Cl1 0.500 0.000 0.000
Be1 0.500 0.500 0.500
Cl2 0.000 0.000 0.500
Ir1 0.000 0.500 0.000
```

=====

An optimized crystal structure of K2BeCl2, computed with PBE.

Values from the calculation:
The uncorrected formation energy is -3.59 eV/f.u. The calculation puts the offset from the most stable computed form at 44 meV per atom.

```
data_K2BeCl2
_chemical_formula_sum 'K2 Be1 Cl2'
_cell_length_a 6.065
_cell_length_b 6.065
_cell_length_c 8.019
_cell_angle_alpha 67.78
_cell_angle_beta 67.78
_cell_angle_gamma 90.00
_symmetry_space_group_name_H-M 'P 1'
_symmetry_Int_Tables_number 1
loop_
_symmetry_equiv_pos_as_xyz
'x,y,z'
loop_
_atom_site_label
_atom_site_fract_x
_atom_site_fract_y
_atom_site_fract_z
K1 0.716 0.716 0.568
Cl1 0.250 0.750 0.500
Cl2 0.750 0.250 0.500
K2 0.284 0.284 0.432
Be1 0.000 0.000 0.000
```

=====

An optimized crystal structure of K2BeCl, computed with PBE.

Values from the calculation:
The uncorrected formation energy is 0.46 eV/f.u. The calculation puts the offset from the most stable computed form at 421 meV per atom.

```
data_K2BeCl
_chemical_formula_sum 'K2 Be1 Cl1'
_cell_length_a 5.731
_cell_length_b 5.731
_cell_length_c 5.731
_cell_angle_alpha 60.00
_cell_angle_beta 60.00
_cell_angle_gamma 60.00
_symmetry_space_group_name_H-M 'P 1'
_symmetry_Int_Tables_number 1
loop_
_symmetry_equiv_pos_as_xyz
'x,y,z'
loop_
_atom_site_label
_atom_site_fract_x
_atom_site_fract_y
_atom_site_fract_z
Be1 0.500 0.500 0.500
K1 0.000 0.000 0.000
K2 0.250 0.250 0.250
Cl1 0.750 0.750 0.750
```

=====

An optimized crystal structure of KBe2Cl, computed with PBE.

Values from the calculation:
The uncorrected formation energy is 2.45 eV/f.u. The calculation puts the offset from the most stable computed form at 606 meV per atom.

```
data_KBe2Cl
_chemical_formula_sum 'K1 Be2 Cl1'
_cell_length_a 4.633
_cell_length_b 4.633
_cell_length_c 5.390
_cell_angle_alpha 90.00
_cell_angle_beta 90.00
_cell_angle_gamma 90.00
_symmetry_space_group_name_H-M 'P 1'
_symmetry_Int_Tables_number 1
loop_
_symmetry_equiv_pos_as_xyz
'x,y,z'
loop_
_atom_site_label
_atom_site_fract_x
_atom_site_fract_y
_atom_site_fract_z
Cl1 0.500 0.500 0.250
K1 0.500 0.500 0.750
Be1 0.000 0.000 0.456
Be2 0.000 0.000 0.044
```

=====

An optimized crystal structure of KBe2Cl, computed with PBE.

Values from the calculation:
The uncorrected formation energy is 1.54 eV/f.u. The calculation puts the offset from the most stable computed form at 379 meV per atom.

```
data_KBe2Cl
_chemical_formula_sum 'K1 Be2 Cl1'
_cell_length_a 7.302
_cell_length_b 7.302
_cell_length_c 7.302
_cell_angle_alpha 149.13
_cell_angle_beta 149.13
_cell_angle_gamma 44.22
_symmetry_space_group_name_H-M 'P 1'
_symmetry_Int_Tables_number 1
loop_
_symmetry_equiv_pos_as_xyz
'x,y,z'
loop_
_atom_site_label
_atom_site_fract_x
_atom_site_fract_y
_atom_site_fract_z
K1 0.750 0.250 0.500
Be1 0.000 0.000 0.000
Cl1 0.250 0.750 0.500
Be2 0.500 0.500 0.000
```

=====

An optimized crystal structure of KBe2Cl, computed with PBE.

Values from the calculation:
The uncorrected formation energy is 2.16 eV/f.u. The calculation puts the offset from the most stable computed form at 532 meV per atom.

```
data_KBe2Cl
_chemical_formula_sum 'K2 Be4 Cl2'
_cell_length_a 8.462
_cell_length_b 8.462
_cell_length_c 6.554
_cell_angle_alpha 49.79
_cell_angle_beta 49.79
_cell_angle_gamma 90.00
_symmetry_space_group_name_H-M 'P 1'
_symmetry_Int_Tables_number 1
loop_
_symmetry_equiv_pos_as_xyz
'x,y,z'
loop_
_atom_site_label
_atom_site_fract_x
_atom_site_fract_y
_atom_site_fract_z
Cl1 0.500 0.500 0.000
Be1 0.594 0.125 0.250
Be2 0.156 0.625 0.250
K1 0.750 0.250 0.500
Be3 0.875 0.844 0.750
K2 0.000 0.000 0.000
Be4 0.375 0.406 0.750
Cl2 0.250 0.750 0.500
```

=====

An optimized crystal structure of K2BeCl, computed with PBE.

Values from the calculation:
The uncorrected formation energy is -0.49 eV/f.u. The calculation puts the offset from the most stable computed form at 184 meV per atom.

```
data_K2BeCl
_chemical_formula_sum 'K2 Be1 Cl1'
_cell_length_a 6.498
_cell_length_b 6.498
_cell_length_c 6.498
_cell_angle_alpha 139.31
_cell_angle_beta 109.50
_cell_angle_gamma 84.72
_symmetry_space_group_name_H-M 'P 1'
_symmetry_Int_Tables_number 1
loop_
_symmetry_equiv_pos_as_xyz
'x,y,z'
loop_
_atom_site_label
_atom_site_fract_x
_atom_site_fract_y
_atom_site_fract_z
K1 0.464 0.464 0.000
Be1 0.750 0.250 0.500
Cl1 0.250 0.750 0.500
K2 0.036 0.036 0.000
```

=====

An optimized crystal structure of K4BeCl6, computed with PBE.

Values from the calculation:
The uncorrected formation energy is -19.83 eV/f.u.

```
data_K4BeCl6
_chemical_formula_sum 'K8 Be2 Cl12'
_cell_length_a 7.437
_cell_length_b 8.370
_cell_length_c 14.518
_cell_angle_alpha 75.94
_cell_angle_beta 75.16
_cell_angle_gamma 63.63
_symmetry_space_group_name_H-M 'P 1'
_symmetry_Int_Tables_number 1
loop_
_symmetry_equiv_pos_as_xyz
'x,y,z'
loop_
_atom_site_label
_atom_site_fract_x
_atom_site_fract_y
_atom_site_fract_z
Cl1 0.373 0.175 0.982
Cl2 0.470 0.675 0.482
Cl3 0.913 0.042 0.637
K1 0.998 0.645 0.669
K2 0.264 0.752 0.303
K3 0.688 0.145 0.169
K4 0.351 0.977 0.622
Cl4 0.023 0.152 0.255
Cl5 0.409 0.542 0.137
Cl6 0.953 0.608 0.455
Cl7 0.570 0.652 0.755
K5 0.681 0.252 0.803
Cl8 0.722 0.749 0.262
K6 0.818 0.283 0.448
Be1 0.686 0.769 0.405
Cl9 0.267 0.249 0.762
K7 0.050 0.477 0.122
K8 0.451 0.783 0.948
Cl10 0.984 0.108 0.955
Be2 0.139 0.269 0.905
Cl11 0.591 0.034 0.416
Cl12 0.959 0.534 0.916
```

=====

An optimized crystal structure of K2BeCl, computed with PBE.

Values from the calculation:
The uncorrected formation energy is -1.05 eV/f.u. The calculation puts the offset from the most stable computed form at 43 meV per atom.

```
data_K2BeCl
_chemical_formula_sum 'K2 Be1 Cl1'
_cell_length_a 9.310
_cell_length_b 9.310
_cell_length_c 9.310
_cell_angle_alpha 155.98
_cell_angle_beta 154.52
_cell_angle_gamma 35.30
_symmetry_space_group_name_H-M 'P 1'
_symmetry_Int_Tables_number 1
loop_
_symmetry_equiv_pos_as_xyz
'x,y,z'
loop_
_atom_site_label
_atom_site_fract_x
_atom_site_fract_y
_atom_site_fract_z
Be1 0.448 0.448 0.000
K1 0.063 0.063 0.000
K2 0.784 0.284 0.500
Cl1 0.204 0.704 0.500
```

=====

An optimized crystal structure of K3BeCl, computed with PBE.

Values from the calculation:
The uncorrected formation energy is -0.90 eV/f.u. The calculation puts the offset from the most stable computed form at 0 meV per atom.

```
data_K3BeCl
_chemical_formula_sum 'K3 Be1 Cl1'
_cell_length_a 6.032
_cell_length_b 6.032
_cell_length_c 6.032
_cell_angle_alpha 90.00
_cell_angle_beta 90.00
_cell_angle_gamma 90.00
_symmetry_space_group_name_H-M 'P 1'
_symmetry_Int_Tables_number 1
loop_
_symmetry_equiv_pos_as_xyz
'x,y,z'
loop_
_atom_site_label
_atom_site_fract_x
_atom_site_fract_y
_atom_site_fract_z
K1 0.500 0.000 0.000
Be1 0.500 0.500 0.500
K2 0.000 0.000 0.500
K3 0.000 0.500 0.000
Cl1 0.000 0.000 0.000
```

=====

An optimized crystal structure of KBe2Cl, computed with PBE.

Values from the calculation:
The uncorrected formation energy is 1.51 eV/f.u. The calculation puts the offset from the most stable computed form at 371 meV per atom.

```
data_KBe2Cl
_chemical_formula_sum 'K1 Be2 Cl1'
_cell_length_a 3.081
_cell_length_b 4.491
_cell_length_c 7.010
_cell_angle_alpha 90.00
_cell_angle_beta 90.00
_cell_angle_gamma 90.00
_symmetry_space_group_name_H-M 'P 1'
_symmetry_Int_Tables_number 1
loop_
_symmetry_equiv_pos_as_xyz
'x,y,z'
loop_
_atom_site_label
_atom_site_fract_x
_atom_site_fract_y
_atom_site_fract_z
Cl1 0.500 0.000 0.500
K1 0.000 0.500 0.500
Be1 0.000 0.000 0.000
Be2 0.500 0.500 0.000
```